No. 1
# VCrIr2 PBE optimized geometry
# * calculated formation energy: 75.3 kJ/mol of atoms
# * total magnetization: 4.48 Bohr magnetons per cell
# * energy: -8.3360 eV per atom
data_VCrIr2
_space_group_name_H-M_alt 'I -4 2 d'
_space_group_IT_number 122
_space_group_name_Hall 'I -4 2bw'
_cell_length_a 5.4441
_cell_length_b 5.4441
_cell_length_c 10.8018
_cell_angle_alpha 90.00
_cell_angle_beta 90.00
_cell_angle_gamma 90.00
loop_
_atom_site_label
_atom_site_type_symbol
_atom_site_fract_x
_atom_site_fract_y
_atom_site_fract_z
V1 V 0.0000 0.0000 0.0000
Cr1 Cr 0.0000 0.0000 0.5000
Ir1 Ir 0.2419 0.2500 0.6250

No. 2
# V3CrIr PBE optimized geometry
# * calculated formation energy: 79.5 kJ/mol of atoms
# * total magnetization: 0.00 Bohr magnetons per cell
# * energy above the most stable polymorph in this dataset: 0.947 eV/atom
# * energy: -8.3441 eV per atom
data_V3CrIr
_space_group_name_H-M_alt 'P m -3 m'
_space_group_IT_number 221
_space_group_name_Hall '-P 4 2 3'
_cell_length_a 4.2108
_cell_length_b 4.2108
_cell_length_c 4.2108
_cell_angle_alpha 90.00
_cell_angle_beta 90.00
_cell_angle_gamma 90.00
loop_
_atom_site_label
_atom_site_type_symbol
_atom_site_fract_x
_atom_site_fract_y
_atom_site_fract_z
V1 V 0.0000 0.0000 0.5000
Cr1 Cr 0.0000 0.0000 0.0000
Ir1 Ir 0.5000 0.5000 0.5000

No. 3
# VCrIr2 PBE optimized geometry
# * calculated formation energy: -33.2 kJ/mol of atoms
# * total magnetization: 1.03 Bohr magnetons per cell
# * energy: -9.4601 eV per atom
data_VCrIr2
_space_group_name_H-M_alt 'C m m m'
_space_group_IT_number 65
_space_group_name_Hall '-C 2 2'
_cell_length_a 5.4300
_cell_length_b 7.3762
_cell_length_c 2.7119
_cell_angle_alpha 90.00
_cell_angle_beta 90.00
_cell_angle_gamma 90.00
loop_
_atom_site_label
_atom_site_type_symbol
_atom_site_fract_x
_atom_site_fract_y
_atom_site_fract_z
V1 V 0.0000 0.0000 0.0000
Cr1 Cr 0.0000 0.5000 0.0000
Ir1 Ir 0.2500 0.2500 0.5000

No. 4
# VCrIr6 PBE optimized geometry
# * calculated formation energy: -32.9 kJ/mol of atoms
# * total magnetization: 1.53 Bohr magnetons per cell
# * energy: -9.3294 eV per atom
data_VCrIr6
_space_group_name_H-M_alt 'P 4/m m m'
_space_group_IT_number 123
_space_group_name_Hall '-P 4 2'
_cell_length_a 5.4186
_cell_length_b 5.4186
_cell_length_c 3.8316
_cell_angle_alpha 90.00
_cell_angle_beta 90.00
_cell_angle_gamma 90.00
loop_
_atom_site_label
_atom_site_type_symbol
_atom_site_fract_x
_atom_site_fract_y
_atom_site_fract_z
V1 V 0.0000 0.0000 0.0000
Cr1 Cr 0.5000 0.5000 0.0000
Ir1 Ir 0.0000 0.5000 0.0000
Ir2 Ir 0.2503 0.2503 0.5000